# 1
# ScSbCl2

ScSbCl2 after structural relaxation (PBEsol, Alexandria).

Unit cell a=6.5632 b=6.5632 c=6.5632 alpha=101.65 beta=101.65 gamma=126.58
With the nearest neighbours (Å) after each atom.
Fractional coordinates of all 8 atoms:
1 Sc 0.0000 0.0000 0.0000  4 Cl 2.49
2 Sc 0.7500 0.2500 0.5000  4 Cl 2.49
3 Sb 0.2500 0.7500 0.5000  2 Sc 2.95, 4 Cl 3.25
4 Sb 0.5000 0.5000 0.0000  2 Sc 2.95, 4 Cl 3.25
5 Cl 0.0151 0.6250 0.8901  2 Sc 2.49
6 Cl 0.3750 0.2651 0.3901  2 Sc 2.49
7 Cl 0.7349 0.1250 0.1099  2 Sc 2.49
8 Cl 0.8750 0.9849 0.6099  2 Sc 2.49

## Properties
M_tot = 0.0 μB per formula unit
ΔE_f (raw) = -0.9393 eV per atom
Crystal system = tetragonal
Uncorrected energy = -18.9 eV/f.u.

# 2
# ScSbCl2

ScSbCl2 after structural relaxation (PBEsol, Alexandria).

Unit cell a=10.4219 b=10.4219 c=10.4219 alpha=18.42 beta=18.42 gamma=18.42
With the nearest neighbours (Å) after each atom.
Fractional coordinates of all 4 atoms:
1 Sc 0.0000 0.0000 0.0000  6 Cl 2.51
2 Sb 0.5000 0.5000 0.5000  6 Sb 3.34
3 Cl 0.2811 0.2811 0.2811  3 Sc 2.51
4 Cl 0.7189 0.7189 0.7189  3 Sc 2.51

## Properties
M_tot = 0.0 μB per formula unit
ΔE_f (raw) = -1.2119 eV per atom
Crystal system = trigonal
Uncorrected energy = -20.0 eV/f.u.

# 3
# ScSbCl2

ScSbCl2 after structural relaxation (PBEsol, Alexandria).

Unit cell a=4.4372 b=4.4372 c=4.5810 alpha=90.00 beta=90.00 gamma=90.95
With the nearest neighbours (Å) after each atom.
Fractional coordinates of all 4 atoms:
1 Sc 0.0000 0.0000 0.0000  4 Cl 2.69
2 Sb 0.5000 0.5000 0.0000  4 Cl 2.88, 4 Sc 3.11-3.16
3 Cl 0.2229 0.7771 0.5000  2 Sc 2.69, 1 Cl 2.82, 2 Sb 2.88
4 Cl 0.7771 0.2229 0.5000  2 Sc 2.69, 1 Cl 2.82, 2 Sb 2.88

## Properties
M_tot = 0.0 μB per formula unit
ΔE_f (raw) = -0.8890 eV per atom
Crystal system = orthorhombic
Uncorrected energy = -18.7 eV/f.u.

# 4
# Sc2SbCl

Sc2SbCl after structural relaxation (PBEsol, Alexandria).

Unit cell a=3.3407 b=3.3407 c=7.3973 alpha=90.00 beta=90.00 gamma=101.16
With the nearest neighbours (Å) after each atom.
Fractional coordinates of all 4 atoms:
1 Sc 0.0000 0.0000 0.2441  2 Cl 2.79, 2 Sb 2.84
2 Sc 0.0000 0.0000 0.7559  2 Cl 2.79, 2 Sb 2.84
3 Sb 0.5000 0.5000 0.5000  4 Sc 2.84
4 Cl 0.5000 0.5000 0.0000  4 Sc 2.79

## Properties
M_tot = 0.0 μB per formula unit
ΔE_f (raw) = -0.8467 eV per atom
Crystal system = orthorhombic
Uncorrected energy = -23.2 eV/f.u.

# 5
# ScSb2Cl

ScSb2Cl after structural relaxation (PBEsol, Alexandria).

Unit cell a=4.1137 b=4.1137 c=5.4914 alpha=90.00 beta=90.00 gamma=90.00
With the nearest neighbours (Å) after each atom.
Fractional coordinates of all 4 atoms:
1 Sc 0.0000 0.0000 0.0000  4 Cl 2.91
2 Sb 0.0000 0.5000 0.5000  4 Sb 2.91
3 Sb 0.5000 0.0000 0.5000  4 Sb 2.91
4 Cl 0.5000 0.5000 0.0000  4 Sc 2.91

## Properties
M_tot = 0.0 μB per formula unit
ΔE_f (raw) = -0.5447 eV per atom
Crystal system = tetragonal
Uncorrected energy = -19.9 eV/f.u.

# 6
# ScSb2Cl

ScSb2Cl after structural relaxation (PBEsol, Alexandria).

Unit cell a=5.0884 b=5.0884 c=5.0884 alpha=60.00 beta=60.00 gamma=60.00
With the nearest neighbours (Å) after each atom.
Fractional coordinates of all 4 atoms:
1 Sc 0.0000 0.0000 0.0000  4 Cl 3.12, 4 Sb 3.12
2 Sb 0.2500 0.2500 0.2500  4 Sb 3.12, 4 Sc 3.12
3 Sb 0.5000 0.5000 0.5000  4 Cl 3.12, 4 Sb 3.12
4 Cl 0.7500 0.7500 0.7500  4 Sb 3.12, 4 Sc 3.12

## Properties
M_tot = 0.0 μB per formula unit
ΔE_f (raw) = -0.3785 eV per atom
Crystal system = cubic
Uncorrected energy = -19.2 eV/f.u.

# 7
# ScSbCl2

ScSbCl2 after structural relaxation (PBEsol, Alexandria).

Unit cell a=3.4897 b=3.4897 c=7.0304 alpha=90.00 beta=90.00 gamma=90.00
With the nearest neighbours (Å) after each atom.
Fractional coordinates of all 4 atoms:
1 Sc 0.0000 0.0000 0.0000  5 Cl 2.54-2.60
2 Sb 0.5000 0.5000 0.6719  5 Cl 3.11-3.30, 4 Sc 3.38
3 Cl 0.0000 0.0000 0.3611  1 Sc 2.54
4 Cl 0.5000 0.5000 0.1142  4 Sc 2.60

## Properties
M_tot = 0.0 μB per formula unit
ΔE_f (raw) = -1.0028 eV per atom
Crystal system = tetragonal
Uncorrected energy = -19.2 eV/f.u.

# 8
# ScSbCl2

ScSbCl2 after structural relaxation (PBEsol, Alexandria).

Unit cell a=9.7522 b=9.7522 c=9.7522 alpha=19.93 beta=19.93 gamma=19.93
With the nearest neighbours (Å) after each atom.
Fractional coordinates of all 4 atoms:
1 Sc 0.0000 0.0000 0.0000  2 Cl 2.38
2 Sb 0.5000 0.5000 0.5000  6 Cl 3.09, 6 Sb 3.38
3 Cl 0.0831 0.0831 0.0831  1 Sc 2.38
4 Cl 0.9169 0.9169 0.9169  1 Sc 2.38

## Properties
M_tot = 0.0 μB per formula unit
ΔE_f (raw) = -0.5894 eV per atom
Crystal system = trigonal
Uncorrected energy = -17.5 eV/f.u.

# 9
# ScSbTe2Cl

ScSbTe2Cl after structural relaxation (PBEsol, Alexandria).

Unit cell a=5.1770 b=5.1770 c=5.2657 alpha=90.00 beta=90.00 gamma=90.00
With the nearest neighbours (Å) after each atom.
Fractional coordinates of all 5 atoms:
1 Sc 0.0000 0.0000 0.0000  4 Sb 3.66, 8 Te 3.69
2 Sb 0.5000 0.5000 0.0000  2 Cl 2.63
3 Te 0.0000 0.5000 0.5000  2 Cl 2.59
4 Te 0.5000 0.0000 0.5000  2 Cl 2.59
5 Cl 0.5000 0.5000 0.5000  4 Te 2.59, 2 Sb 2.63

## Properties
M_tot = 0.0 μB per formula unit
ΔE_f (raw) = 0.3496 eV per atom
Crystal system = tetragonal
Uncorrected energy = -18.5 eV/f.u.

# 10
# Sb2SeCl

Sb2SeCl after structural relaxation (PBEsol, Alexandria).

Unit cell a=3.3919 b=3.3919 c=9.7721 alpha=90.00 beta=90.00 gamma=118.64
With the nearest neighbours (Å) after each atom.
Fractional coordinates of all 4 atoms:
1 Sb 0.0000 0.0000 0.0000  2 Cl 2.73
2 Sb 0.5000 0.5000 0.2941  2 Se 2.65
3 Se 0.0000 0.0000 0.4998  2 Sb 2.65
4 Cl 0.5000 0.5000 0.7844  2 Sb 2.73

## Properties
M_tot = 0.0 μB per formula unit
ΔE_f (raw) = 0.0115 eV per atom
Crystal system = orthorhombic
Uncorrected energy = -14.9 eV/f.u.

# 11
# Sb2SeCl

Sb2SeCl after structural relaxation (PBEsol, Alexandria).

Unit cell a=3.7746 b=3.7746 c=7.0177 alpha=90.00 beta=90.00 gamma=90.00
With the nearest neighbours (Å) after each atom.
Fractional coordinates of all 4 atoms:
1 Sb 0.0000 0.0000 0.0000  1 Se 2.86
2 Sb 0.5000 0.5000 0.2598  4 Se 2.86
3 Se 0.0000 0.0000 0.4077  5 Sb 2.86
4 Cl 0.5000 0.5000 0.7385  5 Sb 3.24-3.36, 4 Se 3.54

## Properties
M_tot = 0.0 μB per formula unit
ΔE_f (raw) = -0.0956 eV per atom
Crystal system = tetragonal
Uncorrected energy = -15.4 eV/f.u.

# 12
# Sb2SeCl

Sb2SeCl after structural relaxation (PBEsol, Alexandria).

Unit cell a=5.0322 b=5.0322 c=5.0322 alpha=60.00 beta=60.00 gamma=60.00
With the nearest neighbours (Å) after each atom.
Fractional coordinates of all 4 atoms:
1 Sb 0.0000 0.0000 0.0000  4 Cl 3.08, 4 Sb 3.08
2 Sb 0.2500 0.2500 0.2500  4 Se 3.08, 4 Sb 3.08
3 Se 0.5000 0.5000 0.5000  4 Cl 3.08, 4 Sb 3.08
4 Cl 0.7500 0.7500 0.7500  4 Se 3.08, 4 Sb 3.08

## Properties
M_tot = 0.0 μB per formula unit
ΔE_f (raw) = 0.0253 eV per atom
Crystal system = cubic
Uncorrected energy = -14.9 eV/f.u.

# 13
# Sb2SeCl

Sb2SeCl after structural relaxation (PBEsol, Alexandria).

Unit cell a=5.1066 b=5.1066 c=3.4939 alpha=90.00 beta=90.00 gamma=97.14
With the nearest neighbours (Å) after each atom.
Fractional coordinates of all 4 atoms:
1 Sb 0.0000 0.5000 0.0000  4 Cl 3.09, 4 Se 3.09, 2 Sb 3.38
2 Sb 0.5000 0.0000 0.0000  4 Cl 3.09, 4 Se 3.09, 2 Sb 3.38
3 Se 0.0000 0.0000 0.5000  8 Sb 3.09, 2 Cl 3.38
4 Cl 0.5000 0.5000 0.5000  8 Sb 3.09, 2 Se 3.38

## Properties
M_tot = 0.0 μB per formula unit
ΔE_f (raw) = 0.0518 eV per atom
Crystal system = orthorhombic
Uncorrected energy = -14.8 eV/f.u.

# 14
# Sb2SeCl

Sb2SeCl after structural relaxation (PBEsol, Alexandria).

Unit cell a=9.0260 b=9.0260 c=9.0260 alpha=22.65 beta=22.65 gamma=22.65
With the nearest neighbours (Å) after each atom.
Fractional coordinates of all 4 atoms:
1 Sb 0.2446 0.2446 0.2446  3 Se 2.90, 3 Cl 3.11
2 Sb 0.7554 0.7554 0.7554  3 Se 2.90, 3 Cl 3.11
3 Se 0.5000 0.5000 0.5000  6 Sb 2.90
4 Cl 0.0000 0.0000 0.0000  6 Sb 3.11

## Properties
M_tot = 0.0 μB per formula unit
ΔE_f (raw) = -0.1141 eV per atom
Crystal system = trigonal
Uncorrected energy = -15.4 eV/f.u.

# 15
# TaSbSeCl2

TaSbSeCl2 after structural relaxation (PBEsol, Alexandria).

Unit cell a=4.5579 b=4.5579 c=5.7662 alpha=90.00 beta=90.00 gamma=90.00
With the nearest neighbours (Å) after each atom.
Fractional coordinates of all 5 atoms:
1 Ta 0.0000 0.0000 0.0000  4 Cl 2.28
2 Sb 0.0000 0.0000 0.5000  2 Ta 2.88, 4 Se 3.22
3 Se 0.5000 0.5000 0.5000  4 Sb 3.22
4 Cl 0.0000 0.5000 0.0000  2 Ta 2.28
5 Cl 0.5000 0.0000 0.0000  2 Ta 2.28

## Properties
M_tot = 0.0 μB per formula unit
ΔE_f (raw) = -0.2316 eV per atom
Crystal system = tetragonal
Uncorrected energy = -26.1 eV/f.u.

# 16
# SbTe2SeCl

SbTe2SeCl after structural relaxation (PBEsol, Alexandria).

Unit cell a=5.1639 b=5.1639 c=5.4357 alpha=90.00 beta=90.00 gamma=90.00
With the nearest neighbours (Å) after each atom.
Fractional coordinates of all 5 atoms:
1 Sb 0.0000 0.0000 0.0000  2 Cl 2.72
2 Te 0.0000 0.5000 0.5000  2 Cl 2.58
3 Te 0.5000 0.0000 0.5000  2 Cl 2.58
4 Se 0.5000 0.5000 0.0000  4 Sb 3.65, 8 Te 3.75
5 Cl 0.0000 0.0000 0.5000  4 Te 2.58, 2 Sb 2.72

## Properties
M_tot = 0.0 μB per formula unit
ΔE_f (raw) = 0.9006 eV per atom
Crystal system = tetragonal
Uncorrected energy = -13.0 eV/f.u.

# 17
# SiSbCl2

SiSbCl2 after structural relaxation (PBEsol, Alexandria).

Unit cell a=3.2863 b=3.2863 c=9.6593 alpha=90.00 beta=90.00 gamma=122.19
With the nearest neighbours (Å) after each atom.
Fractional coordinates of all 4 atoms:
1 Si 0.0000 0.0000 0.0000  2 Cl 2.39
2 Sb 0.5000 0.5000 0.7312  2 Cl 2.67
3 Cl 0.0000 0.0000 0.5091  2 Sb 2.67
4 Cl 0.5000 0.5000 0.1846  2 Si 2.39

## Properties
M_tot = 0.0 μB per formula unit
ΔE_f (raw) = -0.0651 eV per atom
Crystal system = orthorhombic
Uncorrected energy = -14.6 eV/f.u.

# 18
# SiSbCl2

SiSbCl2 after structural relaxation (PBEsol, Alexandria).

Unit cell a=9.3577 b=9.3577 c=9.3577 alpha=20.38 beta=20.38 gamma=20.38
With the nearest neighbours (Å) after each atom.
Fractional coordinates of all 4 atoms:
1 Si 0.0000 0.0000 0.0000  3 Cl 2.56
2 Sb 0.7516 0.7516 0.7516  3 Cl 2.84, 3 Si 3.02
3 Cl 0.2715 0.2715 0.2715  3 Si 2.56
4 Cl 0.4948 0.4948 0.4948  3 Sb 2.84

## Properties
M_tot = 0.0 μB per formula unit
ΔE_f (raw) = -0.0744 eV per atom
Crystal system = trigonal
Uncorrected energy = -14.6 eV/f.u.

# 19
# SiSbCl2

SiSbCl2 after structural relaxation (PBEsol, Alexandria).

Unit cell a=3.2517 b=4.5859 c=5.5243 alpha=90.00 beta=90.00 gamma=90.00
With the nearest neighbours (Å) after each atom.
Fractional coordinates of all 4 atoms:
1 Si 0.0000 0.0000 0.0000  4 Cl 2.81
2 Sb 0.5000 0.0000 0.5000  4 Cl 2.81
3 Cl 0.0000 0.5000 0.5000  4 Sb 2.81
4 Cl 0.5000 0.5000 0.0000  4 Si 2.81

## Properties
M_tot = 0.0 μB per formula unit
ΔE_f (raw) = -0.0265 eV per atom
Crystal system = orthorhombic
Uncorrected energy = -14.4 eV/f.u.

# 20
# SiSbCl2

SiSbCl2 after structural relaxation (PBEsol, Alexandria).

Unit cell a=3.1021 b=4.3893 c=6.0396 alpha=90.00 beta=90.00 gamma=90.00
With the nearest neighbours (Å) after each atom.
Fractional coordinates of all 4 atoms:
1 Si 0.0000 0.0000 0.0000  2 Sb 3.02, 8 Cl 3.07, 2 Si 3.10
2 Sb 0.0000 0.0000 0.5000  2 Si 3.02, 8 Cl 3.09, 2 Sb 3.10
3 Cl 0.5000 0.5000 0.2461  4 Cl 2.97-3.10, 4 Si 3.07, 4 Sb 3.09
4 Cl 0.5000 0.5000 0.7539  4 Cl 2.97-3.10, 4 Si 3.07, 4 Sb 3.09

## Properties
M_tot = 0.0 μB per formula unit
ΔE_f (raw) = 0.1906 eV per atom
Crystal system = orthorhombic
Uncorrected energy = -13.6 eV/f.u.